ErAlBi2O6 | PBE | optimized geometry

```
ErAlBi2O6
1.0
5.5287 0.0000 0.0000
0.0000 5.8653 0.0000
-5.4899 0.0000 8.0229
Er Al Bi O
2 2 4 12
Direct
0.0000 0.0000 0.0000 Er
0.0000 0.5000 0.5000 Er
0.5000 0.0000 0.5000 Al
0.5000 0.5000 0.0000 Al
0.2349 0.0453 0.7448 Bi
0.2349 0.4547 0.2448 Bi
0.7651 0.5453 0.7552 Bi
0.7651 0.9547 0.2552 Bi
0.1598 0.1766 0.4537 O
0.1598 0.3234 0.9537 O
0.2724 0.7148 0.4444 O
0.2724 0.7852 0.9444 O
0.3744 0.0364 0.2688 O
0.3744 0.4636 0.7688 O
0.6256 0.5364 0.2312 O
0.6256 0.9636 0.7312 O
0.7276 0.2148 0.0556 O
0.7276 0.2852 0.5556 O
0.8402 0.6766 0.0463 O
0.8402 0.8234 0.5463 O
```

Output
- DFT total energy: -135.62 eV for the cell shown
- Raw formation energy: -2.20 eV per atom

***

Er2AlBiO6 | PBE | optimized geometry

```
Er2AlBiO6
1.0
5.2512 0.0000 0.0000
0.0000 5.2512 0.0000
0.0000 0.0000 5.3230
Er Al Bi O
2 1 1 6
Direct
0.0000 0.5000 0.0000 Er
0.5000 0.0000 0.0000 Er
0.0000 0.0000 0.6276 Al
0.5000 0.5000 0.5661 Bi
0.0000 0.0000 0.2892 O
0.2324 0.2324 0.7687 O
0.2324 0.7676 0.7687 O
0.5000 0.5000 0.1383 O
0.7676 0.2324 0.7687 O
0.7676 0.7676 0.7687 O
```

Output
- DFT total energy: -72.09 eV for the cell shown
- Raw formation energy: -2.56 eV per atom

***

Eu2AlBi | PBE | optimized geometry

```
Eu2AlBi
1.0
5.1392 0.0000 0.0000
0.0000 5.1392 0.0000
0.0000 0.0000 4.5194
Eu Al Bi
2 1 1
Direct
0.0000 0.5000 0.0000 Eu
0.5000 0.0000 0.0000 Eu
0.0000 0.0000 0.5000 Al
0.5000 0.5000 0.5000 Bi
```

Output
- ΔE_f: -0.481 eV per atom
- DFT total energy: -30.10 eV for the cell shown

***

EuAl2Bi | PBE | optimized geometry

```
EuAl2Bi
1.0
4.5595 0.0000 0.0000
0.0000 4.5595 0.0000
0.0000 0.0000 4.7239
Eu Al Bi
1 2 1
Direct
0.0000 0.0000 0.0000 Eu
0.0000 0.5000 0.5000 Al
0.5000 0.0000 0.5000 Al
0.5000 0.5000 0.0000 Bi
```

Output
- ΔE_f: -0.237 eV per atom
- DFT total energy: -22.59 eV for the cell shown